The following is a PBE calculation of an optimized crystal structure of CaZn4As, from Alexandria via LeMat-Bulk.

abc: 5.4234 5.4234 5.4234
angles: 60.00 60.00 60.00
With the nearest neighbours (Å) after each atom.
Atoms (fractional coordinates):
As  0.7500  0.7500  0.7500  12 Zn 3.18, 4 Ca 3.32
Zn  0.3756  0.3756  0.8733  6 Zn 2.70-2.72
Zn  0.8733  0.3756  0.3756  6 Zn 2.70-2.72
Zn  0.3756  0.8733  0.3756  6 Zn 2.70-2.72
Zn  0.3756  0.3756  0.3756  6 Zn 2.70-2.72
Ca  0.0000  0.0000  0.0000  12 Zn 3.18, 4 As 3.32

Computed properties:
Crystal system ... cubic
Space-group type ... F-43m (216)
Total DFT energy (no corrections) ... -12.27 eV/f.u.

The following is a PBE calculation of an optimized crystal structure of CaZnAs, from Alexandria via LeMat-Bulk.

abc: 7.1379 4.0948 10.6021
angles: 90.00 123.59 90.00
With the nearest neighbours (Å) after each atom.
Atoms (fractional coordinates):
Zn  0.5637  0.0000  0.6451  3 As 2.58-2.71, 1 Zn 2.68
Zn  0.4363  0.5000  0.8549  3 As 2.58-2.71, 1 Zn 2.68
Zn  0.5637  0.5000  0.1451  3 As 2.58-2.71, 1 Zn 2.68
Zn  0.4363  0.0000  0.3549  3 As 2.58-2.71, 1 Zn 2.68
As  0.2232  0.0000  0.6877  3 Zn 2.58-2.71
As  0.2232  0.5000  0.1877  3 Zn 2.58-2.71
As  0.7768  0.5000  0.8123  3 Zn 2.58-2.71
As  0.7768  0.0000  0.3123  3 Zn 2.58-2.71
Ca  0.8143  0.0000  0.0511  5 As 2.93-3.18, 4 Zn 3.10-3.22
Ca  0.1857  0.0000  0.9489  5 As 2.93-3.18, 4 Zn 3.10-3.22
Ca  0.8143  0.5000  0.5511  5 As 2.93-3.18, 4 Zn 3.10-3.22
Ca  0.1857  0.5000  0.4489  5 As 2.93-3.18, 4 Zn 3.10-3.22

Computed properties:
Crystal system ... monoclinic
Space-group type ... C2/m (12)
Total DFT energy (no corrections) ... -10.11 eV/f.u.